Zr2SiHg: optimized geometry, GGA-PBE.

```
data_Zr2SiHg
_symmetry_space_group_name_H-M 'F -4 3 m'
_symmetry_Int_Tables_number 216
_symmetry_space_group_name_Hall 'F -4 2 3'
_cell_length_a 6.8893
_cell_length_b 6.8893
_cell_length_c 6.8893
_cell_angle_alpha 90.00
_cell_angle_beta 90.00
_cell_angle_gamma 90.00
loop_
_atom_site_label
_atom_site_fract_x
_atom_site_fract_y
_atom_site_fract_z
_atom_site_occupancy
Zr1 0.0000 0.0000 0.0000 1
Zr2 0.2500 0.2500 0.2500 1
Si1 0.2500 0.2500 0.7500 1
Hg1 0.0000 0.0000 0.5000 1
```

Results
Calculated volume (Å³/cell): 326.98
Crystal system: cubic
Final energy (eV/atom): -5.3826



KLaTa2: optimized geometry, GGA-PBE.

```
data_KLaTa2
_symmetry_space_group_name_H-M 'C m m m'
_symmetry_Int_Tables_number 65
_symmetry_space_group_name_Hall '-C 2 2'
_cell_length_a 5.9422
_cell_length_b 11.4706
_cell_length_c 2.8795
_cell_angle_alpha 90.00
_cell_angle_beta 90.00
_cell_angle_gamma 90.00
loop_
_atom_site_label
_atom_site_fract_x
_atom_site_fract_y
_atom_site_fract_z
_atom_site_occupancy
K1 0.0000 0.0000 0.0000 1
La1 0.0000 0.5000 0.0000 1
Ta1 0.2500 0.2500 0.5000 1
```

Results
Calculated volume (Å³/cell): 196.27
Offset from the most stable computed form (kcal/mol of atoms): 14.62
Crystal system: orthorhombic
Final energy (eV/atom): -6.2442



K3Ce3ErO8: optimized geometry, GGA-PBE.

```
data_K3Ce3ErO8
_symmetry_space_group_name_H-M 'R -3 m'
_symmetry_Int_Tables_number 166
_symmetry_space_group_name_Hall '-R 3 2"'
_cell_length_a 7.1484
_cell_length_b 7.1484
_cell_length_c 18.9752
_cell_angle_alpha 90.00
_cell_angle_beta 90.00
_cell_angle_gamma 120.00
loop_
_atom_site_label
_atom_site_fract_x
_atom_site_fract_y
_atom_site_fract_z
_atom_site_occupancy
K1 0.0000 0.5000 0.0000 1
Ce1 0.0000 0.5000 0.5000 1
Er1 0.0000 0.0000 0.5000 1
O1 0.0000 0.0000 0.2294 1
O2 0.0098 0.5049 0.2245 1
```

Results
Calculated volume (Å³/cell): 839.72
Crystal system: trigonal
Final energy (eV/atom): -7.1862



HoZrFePt: optimized geometry, GGA-PBE.

```
data_HoZrFePt
_symmetry_space_group_name_H-M 'F -4 3 m'
_symmetry_Int_Tables_number 216
_symmetry_space_group_name_Hall 'F -4 2 3'
_cell_length_a 6.7060
_cell_length_b 6.7060
_cell_length_c 6.7060
_cell_angle_alpha 90.00
_cell_angle_beta 90.00
_cell_angle_gamma 90.00
loop_
_atom_site_label
_atom_site_fract_x
_atom_site_fract_y
_atom_site_fract_z
_atom_site_occupancy
Ho1 0.0000 0.0000 0.0000 1
Zr1 0.0000 0.0000 0.5000 1
Fe1 0.2500 0.2500 0.2500 1
Pt1 0.2500 0.2500 0.7500 1
```

Results
Calculated volume (Å³/cell): 301.57
Crystal system: cubic
Final energy (eV/atom): -7.4184



CaEuPt2: optimized geometry, GGA-PBE.

```
data_CaEuPt2
_symmetry_space_group_name_H-M 'P 4/m m m'
_symmetry_Int_Tables_number 123
_symmetry_space_group_name_Hall '-P 4 2'
_cell_length_a 5.0030
_cell_length_b 5.0030
_cell_length_c 3.5611
_cell_angle_alpha 90.00
_cell_angle_beta 90.00
_cell_angle_gamma 90.00
loop_
_atom_site_label
_atom_site_fract_x
_atom_site_fract_y
_atom_site_fract_z
_atom_site_occupancy
Ca1 0.0000 0.0000 0.0000 1
Eu1 0.5000 0.5000 0.0000 1
Pt1 0.0000 0.5000 0.5000 1
```

Results
Calculated volume (Å³/cell): 89.13
Crystal system: tetragonal
Final energy (eV/atom): -6.9731



MgBMo2: optimized geometry, GGA-PBE.

```
data_MgBMo2
_symmetry_space_group_name_H-M 'F m -3 m'
_symmetry_Int_Tables_number 225
_symmetry_space_group_name_Hall '-F 4 2 3'
_cell_length_a 5.9958
_cell_length_b 5.9958
_cell_length_c 5.9958
_cell_angle_alpha 90.00
_cell_angle_beta 90.00
_cell_angle_gamma 90.00
loop_
_atom_site_label
_atom_site_fract_x
_atom_site_fract_y
_atom_site_fract_z
_atom_site_occupancy
Mg1 0.0000 0.0000 0.0000 1
B1 0.0000 0.0000 0.5000 1
Mo1 0.2500 0.2500 0.2500 1
```

Results
Calculated volume (Å³/cell): 215.55
Offset from the most stable computed form (kcal/mol of atoms): 0.00
Crystal system: cubic
Final energy (eV/atom): -6.6298



RbLaPm4Se8: optimized geometry, GGA-PBE.

```
data_RbLaPm4Se8
_symmetry_space_group_name_H-M 'R 3 m'
_symmetry_Int_Tables_number 160
_symmetry_space_group_name_Hall 'R 3 -2"'
_cell_length_a 8.8196
_cell_length_b 8.8196
_cell_length_c 22.0285
_cell_angle_alpha 90.00
_cell_angle_beta 90.00
_cell_angle_gamma 120.00
loop_
_atom_site_label
_atom_site_fract_x
_atom_site_fract_y
_atom_site_fract_z
_atom_site_occupancy
Rb1 0.0000 0.0000 0.0000 1
La1 0.0000 0.0000 0.3686 1
Pm1 0.0000 0.0000 0.7468 1
Pm2 0.0113 0.5056 0.8739 1
Se1 0.0000 0.0000 0.1403 1
Se2 0.0000 0.0000 0.6154 1
Se3 0.0167 0.5083 0.1261 1
Se4 0.1885 0.3769 0.9480 1
```

Results
Calculated volume (Å³/cell): 1483.91
Crystal system: trigonal
Final energy (eV/atom): -5.5300



Ho2Hg3Pb: optimized geometry, GGA-PBE.

```
data_Ho2Hg3Pb
_symmetry_space_group_name_H-M 'I m m m'
_symmetry_Int_Tables_number 71
_symmetry_space_group_name_Hall '-I 2 2'
_cell_length_a 3.3561
_cell_length_b 5.7191
_cell_length_c 17.5236
_cell_angle_alpha 90.00
_cell_angle_beta 90.00
_cell_angle_gamma 90.00
loop_
_atom_site_label
_atom_site_fract_x
_atom_site_fract_y
_atom_site_fract_z
_atom_site_occupancy
Ho1 0.0000 0.0000 0.1552 1
Hg1 0.0000 0.0000 0.3251 1
Hg2 0.0000 0.5000 0.5000 1
Pb1 0.0000 0.0000 0.5000 1
```

Results
Calculated volume (Å³/cell): 336.34
Offset from the most stable computed form (kcal/mol of atoms): 0.50
Crystal system: orthorhombic
Final energy (eV/atom): -2.4495



InTe3H: optimized geometry, GGA-PBE.

```
data_InTe3H
_symmetry_space_group_name_H-M 'P m -3 m'
_symmetry_Int_Tables_number 221
_symmetry_space_group_name_Hall '-P 4 2 3'
_cell_length_a 4.9186
_cell_length_b 4.9186
_cell_length_c 4.9186
_cell_angle_alpha 90.00
_cell_angle_beta 90.00
_cell_angle_gamma 90.00
loop_
_atom_site_label
_atom_site_fract_x
_atom_site_fract_y
_atom_site_fract_z
_atom_site_occupancy
In1 0.0000 0.0000 0.0000 1
Te1 0.0000 0.5000 0.5000 1
H1 0.5000 0.5000 0.5000 1
```

Results
Calculated volume (Å³/cell): 118.99
Crystal system: cubic
Final energy (eV/atom): -2.6703



TbTm4Tl: optimized geometry, GGA-PBE.

```
data_TbTm4Tl
_symmetry_space_group_name_H-M 'C m c 21'
_symmetry_Int_Tables_number 36
_cell_length_a 5.4715
_cell_length_b 20.9286
_cell_length_c 6.4429
_cell_angle_alpha 90.00
_cell_angle_beta 90.00
_cell_angle_gamma 90.00
loop_
_symmetry_equiv_pos_as_xyz
'x,y,z'
'-x,-y,z+1/2'
'-x,y,z'
'x,-y,z+1/2'
'x+1/2,y+1/2,z'
'-x+1/2,-y+1/2,z+1/2'
'-x+1/2,y+1/2,z'
'x+1/2,-y+1/2,z+1/2'
loop_
_atom_site_label
_atom_site_fract_x
_atom_site_fract_y
_atom_site_fract_z
_atom_site_occupancy
Tb1 0.0000 0.0630 0.0000 1
Tm1 0.0000 0.1385 0.5142 1
Tm2 0.0000 0.2555 0.8775 1
Tm3 0.0000 0.3179 0.3557 1
Tm4 0.0000 0.4600 0.1761 1
Tl1 0.0000 0.3977 0.7505 1
```

Results
Calculated volume (Å³/cell): 737.79
Offset from the most stable computed form (kcal/mol of atoms): 3.25
Crystal system: orthorhombic
Final energy (eV/atom): -4.1073



Cu2SiIr: optimized geometry, GGA-PBE.

```
data_Cu2SiIr
_symmetry_space_group_name_H-M 'C m m m'
_symmetry_Int_Tables_number 65
_symmetry_space_group_name_Hall '-C 2 2'
_cell_length_a 4.8724
_cell_length_b 7.4474
_cell_length_c 2.9009
_cell_angle_alpha 90.00
_cell_angle_beta 90.00
_cell_angle_gamma 90.00
loop_
_atom_site_label
_atom_site_fract_x
_atom_site_fract_y
_atom_site_fract_z
_atom_site_occupancy
Cu1 0.2500 0.2500 0.0000 1
Si1 0.0000 0.0000 0.5000 1
Ir1 0.0000 0.5000 0.5000 1
```

Results
Calculated volume (Å³/cell): 105.26
Crystal system: orthorhombic
Final energy (eV/atom): -5.6678



Ca5MgTl6: optimized geometry, GGA-PBE.

```
data_Ca5MgTl6
_symmetry_space_group_name_H-M 'C 1 2/m 1'
_symmetry_Int_Tables_number 12
_cell_length_a 9.4597
_cell_length_b 16.2492
_cell_length_c 5.4357
_cell_angle_alpha 90.00
_cell_angle_beta 124.99
_cell_angle_gamma 90.00
loop_
_symmetry_equiv_pos_as_xyz
'x,y,z'
'-x,-y,-z'
'-x,y,-z'
'x,-y,z'
'x+1/2,y+1/2,z'
'-x+1/2,-y+1/2,-z'
'-x+1/2,y+1/2,-z'
'x+1/2,-y+1/2,z'
loop_
_atom_site_label
_atom_site_fract_x
_atom_site_fract_y
_atom_site_fract_z
_atom_site_occupancy
Ca1 0.0000 0.0000 0.0000 1
Ca2 0.0000 0.1650 0.5000 1
Ca3 0.0000 0.3301 0.0000 1
Mg1 0.0000 0.5000 0.5000 1
Tl1 0.2324 0.5000 0.2326 1
Tl2 0.2396 0.3381 0.7389 1
```

Results
Calculated volume (Å³/cell): 684.54
Crystal system: monoclinic
Final energy (eV/atom): -2.5296



Among the records above, which one has the lowest calculated volume?
CaEuPt2



Number 4 is which compound?
HoZrFePt



calculated volume of number 8 (Ho2Hg3Pb)?
336.34 Å³/cell